First-principles (PBE) data for crystalline Be2CrRe at its relaxed geometry, as listed in Alexandria via LeMat-Bulk.

Calculated values
Distance to the lowest polymorph of the same formula, meV per atom: 125
Formation energy from the elements, eV/atom: 0.073
Size of the total moment, μB per cell: 0.00
DFT total energy, eV per atom: -7.31
D(E_F), states/eV/atom: 0.799
Symmetry: P4mm

a b c (Å): 2.9431 2.9431 5.2396
angles (deg): 90.00 90.00 90.00
Fractional coordinates of all 4 atoms:
Be: 0.0000 0.0000 0.0000
Be: 0.5000 0.5000 0.2066
Cr: 0.0000 0.0000 0.4778
Re: 0.5000 0.5000 0.7152